# 1
# TmCdIrPt

An optimized crystal structure of TmCdIrPt (GGA-PBE, Alexandria).

Results
The final energy is -5.675 eV/atom. The value obtained for the density of states at the Fermi level is 6.162 states/eV/cell. The formation energy is -0.6031 eV/atom.

Lattice parameters (Å, degrees): 6.668 6.668 6.668 90.00 90.00 90.00
Space group F-43m (No. 216)
Inequivalent atoms, fractional coordinates:
Tm  0.000  0.000  0.000
Cd  0.000  0.000  0.500
Ir  0.250  0.250  0.250
Pt  0.250  0.250  0.750


# 2
# CdAgRh3

An optimized crystal structure of CdAgRh3 (GGA-PBE, Alexandria).

Results
The final energy is -3.640 eV/atom. Its excess energy over the best structure of this formula in the dataset is 0.000 eV/atom. The value obtained for the density of states at the Fermi level is 10.820 states/eV/cell. The formation energy is 1.5245 eV/atom.

Lattice parameters (Å, degrees): 4.830 4.830 4.830 90.00 90.00 90.00
Space group Pm-3m (No. 221)
Inequivalent atoms, fractional coordinates:
Cd  0.000  0.000  0.000
Ag  0.500  0.500  0.500
Rh  0.000  0.500  0.500


# 3
# Sc2BeSb

An optimized crystal structure of Sc2BeSb (GGA-PBE, Alexandria).

Results
The final energy is -5.334 eV/atom. Its excess energy over the best structure of this formula in the dataset is 0.268 eV/atom. The value obtained for the density of states at the Fermi level is 18.243 states/eV/cell.

Lattice parameters (Å, degrees): 6.814 6.814 6.814 90.00 90.00 90.00
Space group Fm-3m (No. 225)
Inequivalent atoms, fractional coordinates:
Sc  0.250  0.250  0.250
Be  0.000  0.000  0.000
Sb  0.000  0.000  0.500


# 4
# Sr12Rh5Au3

An optimized crystal structure of Sr12Rh5Au3 (GGA-PBE, Alexandria).

Results
The final energy is -3.478 eV/atom. The value obtained for the density of states at the Fermi level is 104.985 states/eV/cell. The formation energy is -0.1389 eV/atom.

Lattice parameters (Å, degrees): 17.920 17.920 17.920 90.00 90.00 90.00
Space group Ia-3d (No. 230)
Inequivalent atoms, fractional coordinates:
Sr  0.029  0.062  0.649
Rh  0.000  0.000  0.000
Rh  0.000  0.250  0.375
Au  0.000  0.250  0.125


# 5
# AcPm4SmDy2

An optimized crystal structure of AcPm4SmDy2 (GGA-PBE, Alexandria).

Results
The final energy is -4.600 eV/atom. The value obtained for the density of states at the Fermi level is 12.152 states/eV/cell. The formation energy is 0.0296 eV/atom.

Lattice parameters (Å, degrees): 5.164 5.195 10.361 90.00 90.07 90.00
Space group P2/m (No. 10)
Inequivalent atoms, fractional coordinates:
Ac  0.000  0.000  0.000
Pm  0.000  0.500  0.256
Pm  0.500  0.000  0.257
Sm  0.500  0.500  0.500
Dy  0.000  0.000  0.500
Dy  0.500  0.500  0.000


# 6
# Co2ReRh

An optimized crystal structure of Co2ReRh (GGA-PBE, Alexandria).

Results
The final energy is -8.470 eV/atom. Its excess energy over the best structure of this formula in the dataset is 0.007 eV/atom. The value obtained for the density of states at the Fermi level is 4.141 states/eV/cell. The formation energy is 0.0325 eV/atom.

Lattice parameters (Å, degrees): 2.653 3.681 5.189 90.00 90.00 90.00
Space group Pmm2 (No. 25)
Inequivalent atoms, fractional coordinates:
Co  0.000  0.000  0.000
Co  0.500  0.500  0.224
Re  0.000  0.000  0.466
Rh  0.500  0.500  0.738